1.
The following is a GGA-PBE calculation of a relaxed structure of Tb3Pr4Mg, from Alexandria via LeMat-Bulk.

Cell and atoms, written as extended XYZ:
```
8
Lattice="13.5425 -2.6696 0.0000 13.5425 2.6696 0.0000 -0.5026 0.0000 3.7125" Properties=species:S:1:pos:R:3 pbc="T T T"
Tb 0.0000 0.0000 0.0000
Tb 3.4790 0.0000 2.3665
Tb 23.1033 0.0000 1.3460
Pr 7.2764 0.0000 2.9092
Pr 10.5381 0.0000 3.3731
Pr 16.0443 0.0000 0.3394
Pr 19.3060 0.0000 0.8033
Mg 13.2912 0.0000 1.8562
```

DFT total energy: -4.2327 eV/atom
Space-group type: C2/m (12)
ΔH_f (0 K): 0.74 eV/f.u.
ΔE to the lowest computed polymorph: 0.81 eV per formula unit

2.
The following is a GGA-PBE calculation of a relaxed structure of LiScTc, from Alexandria via LeMat-Bulk.

Cell and atoms, written as extended XYZ:
```
3
Lattice="0.0000 3.1022 3.1022 3.1022 0.0000 3.1022 3.1022 3.1022 0.0000" Properties=species:S:1:pos:R:3 pbc="T T T"
Li 0.0000 0.0000 0.0000
Sc 1.5511 1.5511 1.5511
Tc 3.1022 3.1022 3.1022
```

DFT total energy: -5.1678 eV/atom
Space-group type: F-43m (216)
ΔH_f (0 K): 3.11 eV/f.u.
ΔE to the lowest computed polymorph: 2.67 eV per formula unit

3.
The following is a GGA-PBE calculation of a relaxed structure of MgZnC3, from Alexandria via LeMat-Bulk.

Cell and atoms, written as extended XYZ:
```
5
Lattice="4.1115 0.0000 0.0000 0.0000 4.1115 0.0000 0.0000 0.0000 4.1115" Properties=species:S:1:pos:R:3 pbc="T T T"
Mg 0.0000 0.0000 0.0000
Zn 2.0557 2.0557 2.0557
C 0.0000 0.0000 2.0557
C 0.0000 2.0557 0.0000
C 2.0557 0.0000 0.0000
```

DFT total energy: -3.1824 eV/atom
Space-group type: Pm-3m (221)
ΔH_f (0 K): 14.63 eV/f.u.
ΔE to the lowest computed polymorph: 2.23 eV per formula unit